[1]
An optimized crystal structure of La2SnN. Source: the Alexandria database, functional PBE.

a b c (Å): 5.5396 5.9814 7.5894
angles (deg): 90.02 111.33 90.00
Fractional positions:
La1 0.2555 0.1214 0.6496
La2 0.0597 0.6211 0.2580
La3 0.6663 0.6214 0.6492
La4 0.4705 0.1211 0.2577
Sn1 0.8630 0.1213 0.9536
Sn2 0.3630 0.6213 0.9536
N1 0.3630 0.8713 0.4536
N2 0.3630 0.3712 0.4536

Properties
* V: 29.28 A^3/atom
* total magnetization: 0.038 μB/atom
* theoretical density: 5.82 g/cm3
* E_form (uncorrected): -0.993 eV/atom

=====

[2]
An optimized crystal structure of LaSnN. Source: the Alexandria database, functional PBE.

a b c (Å): 4.0551 4.0551 11.0277
angles (deg): 79.41 79.41 60.00
Fractional positions:
La1 0.2888 0.2888 0.1335
La2 0.7112 0.7112 0.8665
Sn1 0.1370 0.1370 0.5889
Sn2 0.8630 0.8630 0.4111
N1 0.3639 0.3639 0.9083
N2 0.6361 0.6361 0.0917

Properties
* V: 25.58 A^3/atom
* total magnetization: 0.000 μB/atom
* excess energy over the best structure of this formula in the dataset: 0 meV/atom
* theoretical density: 5.88 g/cm3
* E_form (uncorrected): -0.766 eV/atom

=====

[3]
An optimized crystal structure of La5Sn2N. Source: the Alexandria database, functional PBE.

a b c (Å): 6.5241 7.5367 11.9810
angles (deg): 90.00 90.00 115.65
Fractional positions:
La1 0.9317 0.8633 0.8880
La2 0.9317 0.8633 0.6120
La3 0.3251 0.6502 0.3986
La4 0.3251 0.6502 0.1014
La5 0.6201 0.2401 0.2500
La6 0.3799 0.7599 0.7500
La7 0.6749 0.3498 0.6014
La8 0.6749 0.3498 0.8986
La9 0.0683 0.1367 0.1120
La10 0.0683 0.1367 0.3880
Sn1 0.8246 0.6491 0.3763
Sn2 0.8246 0.6491 0.1237
Sn3 0.1754 0.3509 0.6237
Sn4 0.1754 0.3509 0.8763
N1 0.8094 0.6187 0.7500
N2 0.1906 0.3813 0.2500

Properties
* V: 33.19 A^3/atom
* total magnetization: 0.000 μB/atom
* theoretical density: 5.92 g/cm3
* E_form (uncorrected): -0.420 eV/atom